(1)
Computed, not measured: a geometry-optimized NpCr4Os structure at the PBE-GGA level of DFT.

Its density is 12.5 g cm⁻³. Its formation energy is 386 meV per atom.

The structure belongs to space group F-43m (No. 216); the cell edges are 6.971, 6.971 and 6.971 Å and the angles 90.00°, 90.00° and 90.00°. Symmetry generates all atoms from Np at (0.000, 0.000, 0.000), Cr at (0.125, 0.125, 0.375) and Os at (0.250, 0.250, 0.750).

(2)
Computed, not measured: a geometry-optimized NpCrOs structure at the PBE-GGA level of DFT.

Its density is 17.3 g cm⁻³. Its formation energy is 133 meV per atom.

The structure belongs to space group P2_1/m (No. 11); the cell edges are 4.194, 4.216 and 5.380 Å and the angles 90.00°, 104.69° and 90.00°. Symmetry generates all atoms from Np at (0.098, 0.250, 0.122), Cr at (0.356, 0.250, 0.803) and Os at (0.249, 0.750, 0.504).